[1]
First-principles (GGA-PBE) data for a relaxed structure of SrZn2NF, as listed in the Alexandria database.

abc: 6.4510 6.4510 4.6924
angles: 90.00 90.00 90.00
Positions (direct):
Sr 0.0000 0.0000 0.0000
Zn 0.0000 0.5000 0.0000
Zn 0.5000 0.0000 0.0000
N 0.0000 0.0000 0.5000
F 0.5000 0.5000 0.5000

Summary:
Energy relative to the elements, uncorrected (kJ/mol of atoms): 57
SG: P4/mmm
Crystal system: tetragonal

=====

[2]
First-principles (GGA-PBE) data for a relaxed structure of ErTmInSn, as listed in the Alexandria database.

abc: 5.2847 5.2847 5.2847
angles: 60.00 60.00 60.00
Positions (direct):
Er 0.0000 0.0000 0.0000
Tm 0.5000 0.5000 0.5000
In 0.7500 0.7500 0.7500
Sn 0.2500 0.2500 0.2500

Summary:
ΔE_f (meV per atom): -465
SG: F-43m
Crystal system: cubic

=====

[3]
First-principles (GGA-PBE) data for a relaxed structure of Li2ReW, as listed in the Alexandria database.

abc: 3.5973 3.5973 4.6246
angles: 90.00 90.00 90.00
Positions (direct):
Li 0.0000 0.5000 0.0000
Li 0.5000 0.0000 0.0000
Re 0.0000 0.0000 0.5000
W 0.5000 0.5000 0.5000

Summary:
ΔE_f (meV per atom): 454
E above lowest polymorph (eV per atom): 0.223
SG: P4/mmm
Crystal system: tetragonal

=====

[4]
First-principles (GGA-PBE) data for a relaxed structure of NbInAg3, as listed in the Alexandria database.

abc: 5.2368 5.2368 5.2368
angles: 90.00 90.00 90.00
Positions (direct):
Nb 0.0000 0.0000 0.0000
In 0.5000 0.5000 0.5000
Ag 0.0000 0.0000 0.5000
Ag 0.0000 0.5000 0.0000
Ag 0.5000 0.0000 0.0000

Summary:
ΔE_f (meV per atom): 1246
E above lowest polymorph (eV per atom): 0.070
SG: Pm-3m
Crystal system: cubic

=====

[5]
First-principles (GGA-PBE) data for a relaxed structure of TlSnBiCl, as listed in the Alexandria database.

abc: 5.4568 5.4568 5.4568
angles: 60.00 60.00 60.00
Positions (direct):
Tl 0.0000 0.0000 0.0000
Sn 0.5000 0.5000 0.5000
Bi 0.2500 0.2500 0.2500
Cl 0.7500 0.7500 0.7500

Summary:
Energy relative to the elements, uncorrected (kJ/mol of atoms): -23
SG: F-43m
Crystal system: cubic

=====

[6]
First-principles (GGA-PBE) data for a relaxed structure of NdCdSn, as listed in the Alexandria database.

abc: 7.8002 4.6225 13.6264
angles: 90.00 93.40 90.00
Positions (direct):
Nd 0.0272 0.2500 0.1215
Nd 0.1587 0.2500 0.4186
Nd 0.4676 0.7500 0.8010
Nd 0.5324 0.2500 0.1990
Nd 0.8413 0.7500 0.5814
Nd 0.9728 0.7500 0.8785
Cd 0.1214 0.2500 0.6990
Cd 0.3363 0.7500 0.0473
Cd 0.4981 0.7500 0.4101
Cd 0.5019 0.2500 0.5899
Cd 0.6637 0.2500 0.9527
Cd 0.8786 0.7500 0.3010
Sn 0.2422 0.7500 0.2510
Sn 0.2601 0.7500 0.5880
Sn 0.2614 0.2500 0.9213
Sn 0.7386 0.7500 0.0787
Sn 0.7399 0.2500 0.4120
Sn 0.7578 0.2500 0.7490

Summary:
ΔE_f (meV per atom): -519
SG: P2_1/m
Crystal system: monoclinic

=====

no.,M_tot (Bohr magnetons per cell),DOS(E_F) (states/eV/cell)
1,2.000,5.767
2,0.000,3.362
3,0.000,2.080
4,0.000,5.034
5,0.000,3.395
6,0.000,13.187